1.
The following is a GGA-PBEsol calculation of a relaxed structure of Mg2Ti2Cd, from the Alexandria database.

a = 3.5366 Å, b = 3.5366 Å, c = 8.6408 Å
α = 101.81°, β = 101.81°, γ = 90.00°
Closest atoms and distances in Å follow each position.
Sites, in units of the cell vectors:
Mg1 0.4012 0.4012 0.8023  4 Cd 2.99, 4 Ti 3.06, 1 Mg 3.27
Mg2 0.5988 0.5988 0.1977  4 Cd 2.99, 4 Ti 3.06, 1 Mg 3.27
Ti1 0.2500 0.7500 0.5000  4 Ti 2.50
Ti2 0.7500 0.2500 0.5000  4 Ti 2.50
Cd1 0.0000 0.0000 0.0000  8 Mg 2.99

Properties
SG: I4/mmm

***

2.
The following is a GGA-PBEsol calculation of a relaxed structure of MgTlCd2, from the Alexandria database.

a = 3.2866 Å, b = 3.2866 Å, c = 10.0848 Å
α = 80.62°, β = 80.62°, γ = 60.00°
Closest atoms and distances in Å follow each position.
Sites, in units of the cell vectors:
Tl1 0.0000 0.0000 0.0000  6 Cd 3.24, 6 Tl 3.29
Mg1 0.5000 0.5000 0.5000  6 Cd 3.00, 6 Mg 3.29
Cd1 0.2449 0.2449 0.2652  3 Mg 3.00, 3 Tl 3.24, 6 Cd 3.29
Cd2 0.7551 0.7551 0.7348  3 Mg 3.00, 3 Tl 3.24, 6 Cd 3.29

Properties
energy above the most stable polymorph in this dataset: 12 kJ/mol of formula units
SG: R-3m

***

The records above give, respectively, formation energy values of 158; 2 kJ/mol of formula units.